No. 1
ScGaSbTe2, relaxed, DFT PBE; space-group type = No. 123; polymorph energy (0 for the lowest one) = 319.3 meV/atom; ΔE_f (raw) = 0.2208 eV per atom; DOS(E_F) = 4.52 states/eV per cell
1.0
5.402 0.000 0.000
0.000 5.402 0.000
0.000 0.000 5.151
Te Sc Sb Ga
2 1 1 1
Direct
0.000 0.500 0.000
0.500 0.000 0.000
0.500 0.500 0.500
0.000 0.000 0.500
0.000 0.000 0.000

No. 2
CaPmPrGa, relaxed, DFT PBE; space-group type = No. 216; ΔH_f (0 K) = -0.13 eV per atom; DOS(E_F) = 2.77 states/eV per cell
1.0
-0.333 1.721 5.199
3.584 -1.829 3.730
3.821 3.380 2.021
Pm Ga Ca Pr
1 1 1 1
Direct
0.000 0.000 0.000
0.250 0.250 0.250
0.750 0.750 0.750
0.500 0.500 0.500

No. 3
Dy2Y3ErBi6, relaxed, DFT PBE; space-group type = No. 12; ΔH_f (0 K) = -0.87 eV per atom; DOS(E_F) = 2.19 states/eV per cell
1.0
7.753 -0.001 0.001
-3.876 6.715 0.001
-1.292 -2.237 7.302
Dy Y Bi Er
2 3 6 1
Direct
0.334 0.666 0.000
0.666 0.334 0.000
0.500 0.500 0.500
0.833 0.167 0.500
0.167 0.833 0.500
0.083 0.415 0.248
0.917 0.585 0.752
0.415 0.083 0.248
0.249 0.249 0.751
0.585 0.917 0.752
0.751 0.751 0.249
0.000 0.000 0.000

No. 4
Bi2BrO3, relaxed, DFT PBE; space-group type = No. 191; polymorph energy (0 for the lowest one) = 180.3 meV/atom; ΔE_f (raw) = -0.7866 eV per atom; DOS(E_F) = 3.73 states/eV per cell
1.0
-0.300 0.552 -3.117
4.880 -3.677 -1.122
-5.731 -2.396 0.128
Bi O Br
2 3 1
Direct
0.000 0.667 0.333
0.000 0.333 0.667
0.500 0.500 0.500
0.500 0.500 0.000
0.500 0.000 0.500
0.000 0.000 0.000

No. 5
ThSn4, relaxed, DFT PBE; space-group type = No. 221; ΔH_f (0 K) = 0.75 eV per atom; polymorph energy (0 for the lowest one) = 1042.1 meV/atom; DOS(E_F) = 7.03 states/eV per cell
1.0
6.004 0.000 0.000
0.000 6.004 0.000
0.000 0.000 6.004
Sn Th
4 1
Direct
0.000 0.500 0.500
0.500 0.500 0.000
0.000 0.000 0.000
0.500 0.000 0.500
0.500 0.500 0.500

No. 6
TbPrAu, relaxed, DFT PBE; space-group type = No. 156; ΔH_f (0 K) = -0.39 eV per atom; polymorph energy (0 for the lowest one) = 163.6 meV/atom; DOS(E_F) = 2.43 states/eV per cell
1.0
4.009 0.000 0.000
0.000 4.955 0.000
0.000 -2.478 4.291
Tb Au Pr
1 1 1
Direct
0.243 0.333 0.667
0.049 0.000 0.000
0.708 0.667 0.333

No. 7
CeMgTcPd, relaxed, DFT PBE; space-group type = No. 216; ΔH_f (0 K) = -0.22 eV per atom; DOS(E_F) = 2.55 states/eV per cell
1.0
-2.603 -2.576 -2.986
-0.360 -4.673 0.606
-4.083 -1.888 1.448
Pd Ce Mg Tc
1 1 1 1
Direct
0.000 0.000 0.000
0.250 0.250 0.250
0.750 0.750 0.750
0.500 0.500 0.500

No. 8
Y2ZrMo, relaxed, DFT PBE; space-group type = No. 12; ΔH_f (0 K) = 0.42 eV per atom; polymorph energy (0 for the lowest one) = 295.6 meV/atom; DOS(E_F) = 5.53 states/eV per cell
1.0
-0.162 6.087 3.007
-3.800 -1.022 -4.307
-2.402 0.463 1.928
Y Mo Zr
2 1 1
Direct
0.500 0.000 0.500
0.000 0.000 0.000
0.500 0.500 0.000
0.000 0.500 0.500